Below is a relaxed structure of UGeAu, with properties calculated at the GGA-PBE level.

Values from the calculation:
Uncorrected energy: -6.57 eV per atom
Formation energy: -0.18 eV per atom

Lattice parameters (Å, degrees): 3.722 6.674 5.859 109.13 71.48 73.81
Site moments in Bohr magnetons follow the coordinates.
Element x y z (fractional)
1 U 0.804 0.459 0.934  1.38
2 U 0.464 0.164 0.908  1.33
3 Au 0.619 0.334 0.429  0.01
4 Au 0.328 0.968 0.376  0.00
5 Ge 0.121 0.819 0.939  -0.01
6 Ge 0.948 0.655 0.449  -0.02

=====

Below is a relaxed structure of Zn5Hg3I12, with properties calculated at the GGA-PBE level.

Values from the calculation:
Formation energy (no corrections): -0.29 eV per atom
Uncorrected energy: -1.59 eV per atom

Lattice parameters (Å, degrees): 15.647 15.647 15.647 109.47 109.47 109.47
Element x y z (fractional)
1 Zn 0.500 0.000 0.000
2 Zn 0.250 0.875 0.125
3 Zn 0.875 0.625 0.750
4 Zn 0.625 0.875 0.250
5 Zn 0.000 0.500 0.500
6 Zn 0.125 0.750 0.375
7 Zn 0.000 0.000 0.000
8 Zn 0.500 0.500 0.000
9 Zn 0.375 0.125 0.750
10 Zn 0.875 0.250 0.625
11 Zn 0.750 0.625 0.375
12 Zn 0.250 0.375 0.625
13 Zn 0.750 0.125 0.875
14 Zn 0.500 0.000 0.500
15 Zn 0.500 0.500 0.500
16 Zn 0.375 0.250 0.125
17 Zn 0.125 0.375 0.250
18 Zn 0.000 0.500 0.000
19 Zn 0.625 0.750 0.875
20 Zn 0.000 0.000 0.500
21 I 0.588 0.701 0.681
22 I 0.520 0.201 0.113
23 I 0.701 0.113 0.020
24 I 0.593 0.980 0.681
25 I 0.887 0.588 0.907
26 I 0.412 0.299 0.319
27 I 0.093 0.181 0.480
28 I 0.799 0.319 0.912
29 I 0.588 0.887 0.407
30 I 0.020 0.407 0.819
31 I 0.681 0.201 0.588
32 I 0.407 0.387 0.588
33 I 0.912 0.093 0.613
34 I 0.980 0.593 0.181
35 I 0.181 0.088 0.701
36 I 0.407 0.020 0.319
37 I 0.907 0.088 0.887
38 I 0.299 0.412 0.819
39 I 0.480 0.799 0.887
40 I 0.113 0.412 0.093
41 I 0.520 0.319 0.907
42 I 0.613 0.020 0.201
43 I 0.181 0.093 0.980
44 I 0.088 0.181 0.201
45 I 0.799 0.480 0.387
46 I 0.113 0.701 0.520
47 I 0.299 0.887 0.980
48 I 0.387 0.407 0.088
49 I 0.201 0.681 0.088
50 I 0.093 0.912 0.113
51 I 0.319 0.799 0.412
52 I 0.681 0.480 0.593
53 I 0.020 0.613 0.701
54 I 0.613 0.593 0.912
55 I 0.701 0.588 0.181
56 I 0.088 0.907 0.387
57 I 0.201 0.520 0.613
58 I 0.887 0.299 0.480
59 I 0.819 0.912 0.299
60 I 0.593 0.613 0.412
61 I 0.907 0.819 0.520
62 I 0.412 0.113 0.593
63 I 0.980 0.387 0.299
64 I 0.912 0.819 0.799
65 I 0.819 0.907 0.020
66 I 0.319 0.520 0.407
67 I 0.387 0.980 0.799
68 I 0.480 0.681 0.093
69 Hg 0.750 0.875 0.625
70 Hg 0.750 0.375 0.125
71 Hg 0.875 0.125 0.250
72 Hg 0.250 0.625 0.875
73 Hg 0.375 0.625 0.250
74 Hg 0.125 0.250 0.875
75 Hg 0.625 0.375 0.750
76 Hg 0.125 0.875 0.750
77 Hg 0.875 0.750 0.125
78 Hg 0.625 0.250 0.375
79 Hg 0.375 0.750 0.625
80 Hg 0.250 0.125 0.375

=====

Below is a relaxed structure of RbNb2CdO6, with properties calculated at the GGA-PBE level.

Values from the calculation:
Formation energy (no corrections): -2.06 eV per atom
Uncorrected energy: -7.24 eV per atom

Lattice parameters (Å, degrees): 6.939 7.923 7.923 99.84 76.06 76.06
Element x y z (fractional)
1 Nb 0.184 0.416 0.280
2 Nb 0.816 0.584 0.720
3 Nb 0.316 0.720 0.584
4 Nb 0.684 0.280 0.416
5 Rb 0.750 0.111 0.889
6 Rb 0.250 0.889 0.111
7 O 0.936 0.363 0.418
8 O 0.707 0.768 0.922
9 O 0.564 0.582 0.637
10 O 0.436 0.418 0.363
11 O 0.793 0.078 0.232
12 O 0.413 0.803 0.390
13 O 0.913 0.390 0.803
14 O 0.087 0.610 0.197
15 O 0.293 0.232 0.078
16 O 0.064 0.637 0.582
17 O 0.207 0.922 0.768
18 O 0.587 0.197 0.610
19 Cd 0.750 0.782 0.218
20 Cd 0.250 0.218 0.782

=====

Number 1: DOS at the Fermi energy 8.99 states/eV/cell. Number 2: DOS at the Fermi energy 65.59 states/eV/cell. Number 3: DOS at the Fermi energy 8.11 states/eV/cell.